[1]
MoPtRh2 | GGA-PBEsol | optimized geometry

Results
- V (Å³ per cell) = 171.1
- uncorrected energy (eV per atom) = -8.88
- E above lowest polymorph (eV per atom) = 0.118
- calculated density (kg/m3) = 14464
- N(E_F) (states/eV per cell) = 12.244
- energy of formation (eV/atom) = -0.1236

Structure (POSCAR):
```
MoPtRh2
1.0
2.7123 0.0000 0.0000
-1.3562 2.3489 0.0000
0.0000 0.0000 26.8580
Mo Pt Rh
3 3 6
Cartesian
0.0000 0.0000 0.0000
0.0000 1.5660 17.9054
1.3562 0.7830 8.9527
0.0000 0.0000 13.4290
0.0000 1.5660 4.4763
1.3562 0.7830 22.3817
0.0000 0.0000 6.7962
0.0000 0.0000 20.0618
0.0000 1.5660 11.1091
0.0000 1.5660 24.7016
1.3562 0.7830 2.1565
1.3562 0.7830 15.7489
```

[2]
CsTiBr3 | GGA-PBEsol | optimized geometry

Results
- V (Å³ per cell) = 297.5
- uncorrected energy (eV per atom) = -4.38
- E above lowest polymorph (eV per atom) = 0.000
- calculated density (kg/m3) = 4694
- N(E_F) (states/eV per cell) = 6.191

Structure (POSCAR):
```
CsTiBr3
1.0
7.6936 0.0000 0.0000
-3.8468 6.6628 0.0000
0.0000 0.0000 5.8041
Cs Ti Br
2 2 6
Cartesian
0.0000 4.4419 1.4510
3.8468 2.2209 4.3531
0.0000 0.0000 0.0000
0.0000 0.0000 2.9021
0.0000 2.1960 4.3531
-1.9450 5.5648 4.3531
1.9018 1.0980 1.4510
1.9450 5.5648 4.3531
5.7918 1.0980 1.4510
3.8468 4.4668 1.4510
```

[3]
ScBeFe2P | GGA-PBEsol | optimized geometry

Results
- V (Å³ per cell) = 82.3
- uncorrected energy (eV per atom) = -5.14
- calculated density (kg/m3) = 3967
- N(E_F) (states/eV per cell) = 4.824
- energy of formation (eV/atom) = 1.7231

Structure (POSCAR):
```
ScBeFe2P
1.0
4.2633 0.0000 0.0000
0.0000 4.2633 0.0000
0.0000 0.0000 4.5287
Sc Be Fe P
1 1 2 1
Cartesian
0.0000 0.0000 0.0000
0.0000 0.0000 2.2644
0.0000 2.1317 0.0000
2.1317 0.0000 0.0000
2.1317 2.1317 2.2644
```

Which of these has the highest V? CsTiBr3

What is the formula in the second record? CsTiBr3